[1]
# MnSiSb2Te SCAN PBEsol geometry
# density of states at the Fermi level = 3.7 states/eV/f.u.
# raw formation energy = 0.71 eV per atom
data_MnSiSb2Te
_cell_length_a 4.846
_cell_length_b 4.846
_cell_length_c 5.185
_cell_angle_alpha 90.00
_cell_angle_beta 90.00
_cell_angle_gamma 90.00
_space_group_name_H-M_alt 'P 4/m m m'
_space_group_IT_number 123
_space_group_name_Hall '-P 4 2'
loop_
_atom_site_label
_atom_site_type_symbol
_atom_site_fract_x
_atom_site_fract_y
_atom_site_fract_z
_atom_site_occupancy
Mn1 Mn 0.000 0.000 0.000 1
Si1 Si 0.500 0.500 0.500 1
Sb1 Sb 0.000 0.500 0.000 1
Te1 Te 0.000 0.000 0.500 1

[2]
# SiAgHg SCAN PBEsol geometry
# density of states at the Fermi level = 0.8 states/eV/f.u.
# raw formation energy = 0.47 eV per atom
data_SiAgHg
_cell_length_a 6.260
_cell_length_b 6.260
_cell_length_c 6.260
_cell_angle_alpha 90.00
_cell_angle_beta 90.00
_cell_angle_gamma 90.00
_space_group_name_H-M_alt 'F -4 3 m'
_space_group_IT_number 216
_space_group_name_Hall 'F -4 2 3'
loop_
_atom_site_label
_atom_site_type_symbol
_atom_site_fract_x
_atom_site_fract_y
_atom_site_fract_z
_atom_site_occupancy
Si1 Si 0.000 0.000 0.000 1
Ag1 Ag 0.250 0.250 0.750 1
Hg1 Hg 0.000 0.000 0.500 1

[3]
# Li3LaSb2 SCAN PBEsol geometry
# density of states at the Fermi level = 0.0 states/eV/f.u.
# raw formation energy = -0.96 eV per atom
data_Li3LaSb2
_cell_length_a 4.5889
_cell_length_b 4.5889
_cell_length_c 7.3428
_cell_angle_alpha 90.00
_cell_angle_beta 90.00
_cell_angle_gamma 120.00
_space_group_name_H-M_alt 'P -3 m 1'
_space_group_IT_number 164
_space_group_name_Hall '-P 3 2"'
loop_
_atom_site_label
_atom_site_type_symbol
_atom_site_fract_x
_atom_site_fract_y
_atom_site_fract_z
_atom_site_occupancy
Li1 Li 0.0000 0.0000 0.0000 1
Li2 Li 0.3333 0.6667 0.1444 1
La1 La 0.0000 0.0000 0.5000 1
Sb1 Sb 0.3333 0.6667 0.7572 1

[4]
# PBr3O SCAN PBEsol geometry
# density of states at the Fermi level = 0.0 states/eV/f.u.
# raw formation energy = -0.84 eV per atom
data_PBr3O
_cell_length_a 9.708
_cell_length_b 9.897
_cell_length_c 6.160
_cell_angle_alpha 90.00
_cell_angle_beta 90.00
_cell_angle_gamma 90.00
_space_group_name_H-M_alt 'P n m a'
_space_group_IT_number 62
_space_group_name_Hall '-P 2ac 2n'
loop_
_atom_site_label
_atom_site_type_symbol
_atom_site_fract_x
_atom_site_fract_y
_atom_site_fract_z
_atom_site_occupancy
P1 P 0.188 0.250 0.104 1
Br1 Br 0.016 0.250 0.878 1
Br2 Br 0.155 0.075 0.313 1
O1 O 0.175 0.750 0.497 1

[5]
# HgBrCl3 SCAN PBEsol geometry
# density of states at the Fermi level = 4.6 states/eV/f.u.
# raw formation energy = 0.04 eV per atom
data_HgBrCl3
_cell_length_a 5.092
_cell_length_b 5.092
_cell_length_c 5.092
_cell_angle_alpha 90.00
_cell_angle_beta 90.00
_cell_angle_gamma 90.00
_space_group_name_H-M_alt 'P m -3 m'
_space_group_IT_number 221
_space_group_name_Hall '-P 4 2 3'
loop_
_atom_site_label
_atom_site_type_symbol
_atom_site_fract_x
_atom_site_fract_y
_atom_site_fract_z
_atom_site_occupancy
Hg1 Hg 0.000 0.000 0.000 1
Br1 Br 0.500 0.500 0.500 1
Cl1 Cl 0.000 0.000 0.500 1

[6]
# MgIrRu2 SCAN PBEsol geometry
# density of states at the Fermi level = 4.1 states/eV/f.u.
# total DFT energy (no corrections) = -36.407 eV/atom
data_MgIrRu2
_cell_length_a 2.7313
_cell_length_b 2.7313
_cell_length_c 26.4753
_cell_angle_alpha 90.00
_cell_angle_beta 90.00
_cell_angle_gamma 120.00
_space_group_name_H-M_alt 'R 3 m'
_space_group_IT_number 160
_space_group_name_Hall 'R 3 -2"'
loop_
_atom_site_label
_atom_site_type_symbol
_atom_site_fract_x
_atom_site_fract_y
_atom_site_fract_z
_atom_site_occupancy
Mg1 Mg 0.0000 0.0000 0.0000 1
Ir1 Ir 0.0000 0.0000 0.2479 1
Ru1 Ru 0.0000 0.0000 0.4981 1
Ru2 Ru 0.0000 0.0000 0.7542 1

[7]
# LiYGa3 SCAN PBEsol geometry
# density of states at the Fermi level = 6.1 states/eV/f.u.
# excess energy over the best structure of this formula in the dataset = 812.5 meV/atom
data_LiYGa3
_cell_length_a 5.431
_cell_length_b 5.431
_cell_length_c 5.431
_cell_angle_alpha 90.00
_cell_angle_beta 90.00
_cell_angle_gamma 90.00
_space_group_name_H-M_alt 'P m -3 m'
_space_group_IT_number 221
_space_group_name_Hall '-P 4 2 3'
loop_
_atom_site_label
_atom_site_type_symbol
_atom_site_fract_x
_atom_site_fract_y
_atom_site_fract_z
_atom_site_occupancy
Li1 Li 0.000 0.000 0.000 1
Y1 Y 0.500 0.500 0.500 1
Ga1 Ga 0.000 0.500 0.500 1

[8]
# SbTeMo2 SCAN PBEsol geometry
# density of states at the Fermi level = 2.9 states/eV/f.u.
# raw formation energy = 0.27 eV per atom
# excess energy over the best structure of this formula in the dataset = 0.0 meV/atom
data_SbTeMo2
_cell_length_a 3.1647
_cell_length_b 3.1647
_cell_length_c 30.0680
_cell_angle_alpha 90.00
_cell_angle_beta 90.00
_cell_angle_gamma 120.00
_space_group_name_H-M_alt 'R 3 m'
_space_group_IT_number 160
_space_group_name_Hall 'R 3 -2"'
loop_
_atom_site_label
_atom_site_type_symbol
_atom_site_fract_x
_atom_site_fract_y
_atom_site_fract_z
_atom_site_occupancy
Sb1 Sb 0.0000 0.0000 0.0000 1
Te1 Te 0.0000 0.0000 0.7947 1
Mo1 Mo 0.0000 0.0000 0.2610 1
Mo2 Mo 0.0000 0.0000 0.5304 1

[9]
# LaSc2 SCAN PBEsol geometry
# density of states at the Fermi level = 4.9 states/eV/f.u.
# excess energy over the best structure of this formula in the dataset = 39.7 meV/atom
data_LaSc2
_cell_length_a 5.2980
_cell_length_b 5.2980
_cell_length_c 6.6370
_cell_angle_alpha 90.00
_cell_angle_beta 90.00
_cell_angle_gamma 120.00
_space_group_name_H-M_alt 'P 63/m m c'
_space_group_IT_number 194
_space_group_name_Hall '-P 6c 2c'
loop_
_atom_site_label
_atom_site_type_symbol
_atom_site_fract_x
_atom_site_fract_y
_atom_site_fract_z
_atom_site_occupancy
La1 La 0.3333 0.6667 0.2500 1
Sc1 Sc 0.0000 0.0000 0.0000 1
Sc2 Sc 0.3333 0.6667 0.7500 1

[10]
# TaFe2Ir SCAN PBEsol geometry
# density of states at the Fermi level = 2.1 states/eV/f.u.
# excess energy over the best structure of this formula in the dataset = 0.0 meV/atom
data_TaFe2Ir
_cell_length_a 6.024
_cell_length_b 6.024
_cell_length_c 6.024
_cell_angle_alpha 90.00
_cell_angle_beta 90.00
_cell_angle_gamma 90.00
_space_group_name_H-M_alt 'F -4 3 m'
_space_group_IT_number 216
_space_group_name_Hall 'F -4 2 3'
loop_
_atom_site_label
_atom_site_type_symbol
_atom_site_fract_x
_atom_site_fract_y
_atom_site_fract_z
_atom_site_occupancy
Ta1 Ta 0.000 0.000 0.000 1
Fe1 Fe 0.000 0.000 0.500 1
Fe2 Fe 0.250 0.250 0.250 1
Ir1 Ir 0.250 0.250 0.750 1

[11]
# CdIN2 SCAN PBEsol geometry
# density of states at the Fermi level = 1.2 states/eV/f.u.
# raw formation energy = 1.99 eV per atom
# excess energy over the best structure of this formula in the dataset = 518.6 meV/atom
data_CdIN2
_cell_length_a 6.012
_cell_length_b 6.012
_cell_length_c 6.012
_cell_angle_alpha 90.00
_cell_angle_beta 90.00
_cell_angle_gamma 90.00
_space_group_name_H-M_alt 'F m -3 m'
_space_group_IT_number 225
_space_group_name_Hall '-F 4 2 3'
loop_
_atom_site_label
_atom_site_type_symbol
_atom_site_fract_x
_atom_site_fract_y
_atom_site_fract_z
_atom_site_occupancy
Cd1 Cd 0.000 0.000 0.000 1
I1 I 0.000 0.000 0.500 1
N1 N 0.250 0.250 0.250 1

[12]
# NiSb2Os SCAN PBEsol geometry
# density of states at the Fermi level = 2.1 states/eV/f.u.
# raw formation energy = 0.24 eV per atom
# excess energy over the best structure of this formula in the dataset = 0.0 meV/atom
data_NiSb2Os
_cell_length_a 3.150
_cell_length_b 3.150
_cell_length_c 7.603
_cell_angle_alpha 90.00
_cell_angle_beta 90.00
_cell_angle_gamma 90.00
_space_group_name_H-M_alt 'P 4 m m'
_space_group_IT_number 99
_space_group_name_Hall 'P 4 -2'
loop_
_atom_site_label
_atom_site_type_symbol
_atom_site_fract_x
_atom_site_fract_y
_atom_site_fract_z
_atom_site_occupancy
Ni1 Ni 0.000 0.000 0.000 1
Sb1 Sb 0.000 0.000 0.404 1
Sb2 Sb 0.500 0.500 0.823 1
Os1 Os 0.500 0.500 0.199 1